Entry 1:
Density functional theory data (GGA-PBE) for a geometry-optimized Rb2CdAg3 structure.

Calculated values
polymorph energy (0 for the lowest one)	0.61	kcal/mol of atoms
calculated formation energy	0.27	eV/f.u.
size of the total moment	0.00	μB/atom

The structure in CIF format:
```
data_Rb2CdAg3
_chemical_formula_sum 'Rb16 Cd8 Ag24'
_space_group_name_H-M_alt 'F m m m'
_space_group_IT_number 69
_space_group_name_Hall '-F 2 2'
_cell_length_a 9.7983
_cell_length_b 10.1214
_cell_length_c 16.8641
_cell_angle_alpha 90.00
_cell_angle_beta 90.00
_cell_angle_gamma 90.00
loop_
_atom_site_label
_atom_site_type_symbol
_atom_site_fract_x
_atom_site_fract_y
_atom_site_fract_z
Rb1 Rb 0.0000 0.2463 0.0000
Rb2 Rb 0.2500 0.2500 0.2500
Cd1 Cd 0.0000 0.0000 0.3338
Ag1 Ag 0.0000 0.0000 0.1654
Ag2 Ag 0.2487 0.0000 0.0832
```


Entry 2:
Density functional theory data (GGA-PBE) for a geometry-optimized Rb2Cd5Ag structure.

Calculated values
polymorph energy (0 for the lowest one)	0.00	kcal/mol of atoms
calculated formation energy	-0.20	eV/f.u.
size of the total moment	0.00	μB/atom

The structure in CIF format:
```
data_Rb2Cd5Ag
_chemical_formula_sum 'Rb8 Cd20 Ag4'
_space_group_name_H-M_alt 'C m c m'
_space_group_IT_number 63
_space_group_name_Hall '-C 2c 2'
_cell_length_a 5.3047
_cell_length_b 18.2786
_cell_length_c 10.5591
_cell_angle_alpha 90.00
_cell_angle_beta 90.00
_cell_angle_gamma 90.00
loop_
_atom_site_label
_atom_site_type_symbol
_atom_site_fract_x
_atom_site_fract_y
_atom_site_fract_z
Rb1 Rb 0.0000 0.0000 0.0000
Rb2 Rb 0.0000 0.1953 0.2500
Cd1 Cd 0.0000 0.1889 0.6106
Cd2 Cd 0.0000 0.3475 0.5180
Cd3 Cd 0.0000 0.4052 0.2500
Ag1 Ag 0.0000 0.4361 0.7500
```


Entry 3:
Density functional theory data (GGA-PBE) for a geometry-optimized Rb4Cd5Ag3 structure.

Calculated values
calculated formation energy	0.04	eV/f.u.
size of the total moment	0.00	μB/atom

The structure in CIF format:
```
data_Rb4Cd5Ag3
_chemical_formula_sum 'Rb8 Cd10 Ag6'
_space_group_name_H-M_alt 'C 1 2/m 1'
_space_group_IT_number 12
_cell_length_a 12.7421
_cell_length_b 5.4453
_cell_length_c 13.4371
_cell_angle_alpha 90.00
_cell_angle_beta 117.76
_cell_angle_gamma 90.00
loop_
_space_group_symop_operation_xyz
'x,y,z'
'-x,-y,-z'
'-x,y,-z'
'x,-y,z'
'x+1/2,y+1/2,z'
'-x+1/2,-y+1/2,-z'
'-x+1/2,y+1/2,-z'
'x+1/2,-y+1/2,z'
loop_
_atom_site_label
_atom_site_type_symbol
_atom_site_fract_x
_atom_site_fract_y
_atom_site_fract_z
Rb1 Rb 0.1620 0.0000 0.0116
Rb2 Rb 0.1704 0.0000 0.3548
Cd1 Cd 0.0000 0.5000 0.5000
Cd2 Cd 0.0564 0.5000 0.1299
Cd3 Cd 0.1673 0.0000 0.7368
Ag1 Ag 0.0000 0.0000 0.5000
Ag2 Ag 0.0681 0.5000 0.7378
```


Entry 4:
Density functional theory data (GGA-PBE) for a geometry-optimized RbCdAg structure.

Calculated values
polymorph energy (0 for the lowest one)	3.54	kcal/mol of atoms
calculated formation energy	0.42	eV/f.u.
size of the total moment	0.00	μB/atom

The structure in CIF format:
```
data_RbCdAg
_chemical_formula_sum 'Rb4 Cd4 Ag4'
_space_group_name_H-M_alt 'F -4 3 m'
_space_group_IT_number 216
_space_group_name_Hall 'F -4 2 3'
_cell_length_a 7.7023
_cell_length_b 7.7023
_cell_length_c 7.7023
_cell_angle_alpha 90.00
_cell_angle_beta 90.00
_cell_angle_gamma 90.00
loop_
_atom_site_label
_atom_site_type_symbol
_atom_site_fract_x
_atom_site_fract_y
_atom_site_fract_z
Rb1 Rb 0.0000 0.0000 0.0000
Cd1 Cd 0.0000 0.0000 0.5000
Ag1 Ag 0.2500 0.2500 0.2500
```